No. 1
VASP calculation (PBE-GGA) on a geometry-optimized BaEuZnAu structure.

Summary:
DOS at the Fermi energy (states/eV per atom): 2.64
Final energy (eV per cell): -18.45

Cell lengths 5.543, 5.543, 5.543 Å; angles 60.00, 60.00, 60.00 degrees
Element x y z (fractional)
1 Ba 0.250 0.250 0.250
2 Eu 0.750 0.750 0.750
3 Au 0.500 0.500 0.500
4 Zn 0.000 0.000 0.000

=====

No. 2
VASP calculation (PBE-GGA) on a geometry-optimized BaAu3F structure.

Summary:
DOS at the Fermi energy (states/eV per atom): 1.00
Polymorph energy (0 for the lowest one) (meV per atom): 0
Formation energy (no corrections) (eV/atom): -0.2012
Final energy (eV per cell): -14.63

Cell lengths 4.964, 4.964, 4.964 Å; angles 90.00, 90.00, 90.00 degrees
Element x y z (fractional)
1 Ba 0.500 0.500 0.500
2 Au 0.000 0.000 0.500
3 Au 0.000 0.500 0.000
4 Au 0.500 0.000 0.000
5 F 0.000 0.000 0.000

=====

no.,M_tot (Bohr magnetons per cell),ρ (Mg/m³)
1,7.18,7.6
2,0.00,10.1